{"formula": "Mn3Co", "functional": "PBE", "state": "optimized geometry", "cell": [[4.680, -0.003, 0.004], [2.033, 4.216, -0.004], [-2.683, -3.180, 2.143]], "species": ["Mn", "Mn", "Mn", "Co"], "fractional_positions": [[0.081, 0.749, 0.331], [0.582, 0.251, 0.331], [0.503, 0.500, 0.003], [0.001, 0.000, 0.001]]}


{"formula": "MnCo2", "functional": "PBE", "state": "optimized geometry", "cell": [[4.692, -0.007, 0.000], [4.039, 2.388, 0.000], [-7.345, -2.003, 5.692]], "species": ["Co", "Co", "Co", "Co", "Mn", "Mn"], "fractional_positions": [[0.112, 0.112, 0.722], [0.667, 0.667, 0.333], [0.333, 0.333, 0.666], [0.002, 0.002, 0.002], [0.778, 0.778, 0.057], [0.442, 0.442, 0.387]]}


Asked for E_form across the records above, the calculation gives 0.03, 0.07 eV/atom in order.